Zr2Rh3: single point on PBEsol structure, meta-GGA SCAN.

```
Zr2Rh3
1.0
5.220 0.000 0.000
2.610 4.800 0.000
-2.610 0.000 6.539
Rh Zr
6 4
direct
0.768 0.885 0.211
0.442 0.115 0.789
0.807 0.385 0.289
0.903 0.615 0.711
0.033 0.000 0.000
0.283 0.500 0.500
0.237 0.387 0.105
0.519 0.613 0.895
0.383 0.887 0.395
0.874 0.113 0.605
```

## Properties
N(E_F) in states/eV/f.u.: 3.40


Zr5Rh: single point on PBEsol structure, meta-GGA SCAN.

```
Zr5Rh
1.0
3.308 0.000 0.000
-1.654 5.402 0.005
0.000 -2.429 6.785
Rh Zr
1 5
direct
0.500 0.000 0.500
0.149 0.299 0.352
0.831 0.662 0.185
0.500 0.000 0.000
0.169 0.338 0.815
0.851 0.701 0.648
```

## Properties
Excess energy over the best structure of this formula in the dataset in meV/atom: 5
N(E_F) in states/eV/f.u.: 6.76


In order of appearance, magnetization = 0.000 0.000 μB per formula unit.
In order of appearance, energy of formation = -4.1 -1.7 eV per formula unit.
In order of appearance, final energy = -333.7 -189.0 eV per cell.